a | The following is a DFT calculation (PBE+U) of Mg6AlVO8 after structural relaxation.

Calculated values
Size of the total moment ... 3.8 Bohr magnetons per cell

Cell: 4.2449 4.2449 8.8782 Å, 90.00 90.00 90.00°
With the nearest neighbours (Å) after each atom.
Space group P4/mmm (No. 123)
Symmetry-distinct sites (fractional):
1 Mg 0.0000 0.0000 0.0000 (multiplicity 1)  6 O 2.12-2.24
2 Mg 0.0000 0.0000 0.5000 (multiplicity 1)  6 O 2.12-2.19
3 Mg 0.0000 0.5000 0.2486 (multiplicity 4)  6 O 2.12-2.23
4 Al 0.5000 0.5000 0.5000 (multiplicity 1)  2 O 1.82
5 V 0.5000 0.5000 0.0000 (multiplicity 1)  4 O 2.12
6 O 0.0000 0.0000 0.2528 (multiplicity 2)  6 Mg 2.12-2.24
7 O 0.0000 0.5000 0.0000 (multiplicity 2)  2 V 2.12, 4 Mg 2.12-2.21
8 O 0.0000 0.5000 0.5000 (multiplicity 2)  2 Al 2.12, 4 Mg 2.12-2.23
9 O 0.5000 0.5000 0.2950 (multiplicity 2)  1 Al 1.82

---

b | The following is a DFT calculation (PBE+U) of Mg6AlVO8 after structural relaxation.

Calculated values
Size of the total moment ... 3.1 Bohr magnetons per cell

Cell: 4.3319 4.3319 8.5662 Å, 90.00 90.00 90.00°
With the nearest neighbours (Å) after each atom.
Space group P4/mmm (No. 123)
Symmetry-distinct sites (fractional):
1 Mg 0.0000 0.0000 0.0000 (multiplicity 1)  6 O 2.17-2.20
2 Mg 0.0000 0.5000 0.2480 (multiplicity 4)  6 O 2.12-2.17
3 Mg 0.5000 0.5000 0.0000 (multiplicity 1)  6 O 2.09-2.17
4 Al 0.0000 0.0000 0.5000 (multiplicity 1)  6 O 2.09-2.17
5 V 0.5000 0.5000 0.5000 (multiplicity 1)  6 O 2.17-2.19
6 O 0.0000 0.0000 0.2562 (multiplicity 2)  1 Al 2.09, 5 Mg 2.17-2.20
7 O 0.0000 0.5000 0.0000 (multiplicity 2)  6 Mg 2.12-2.17
8 O 0.0000 0.5000 0.5000 (multiplicity 2)  2 Mg 2.16, 2 V 2.17, 2 Al 2.17
9 O 0.5000 0.5000 0.2441 (multiplicity 2)  5 Mg 2.09-2.17, 1 V 2.19

---

Consider the structures shown above. The least stable of them is b.